No. 1
DFT (PBE-GGA) results for Y2HoRu after structural relaxation.

Output
energy above the lowest structure with this stoichiometry	0.461	eV/atom
energy	-6.55	eV per atom
energy of formation	55	kJ/mol of formula units

a = 10.8569 Å, b = 10.8569 Å, c = 10.8569 Å
α = 18.54°, β = 18.54°, γ = 18.54°
Fractional coordinates of all 4 atoms:
Y  0.1066  0.1066  0.1066
Y  0.8934  0.8934  0.8934
Ho  0.0000  0.0000  0.0000
Ru  0.5000  0.5000  0.5000

=====

No. 2
DFT (PBE-GGA) results for Cs3Ga2Au3 after structural relaxation.

Output
energy above the lowest structure with this stoichiometry	0.000	eV/atom
energy	-2.56	eV per atom
energy of formation	-199	kJ/mol of formula units

a = 7.5333 Å, b = 7.5333 Å, c = 16.3567 Å
α = 90.00°, β = 90.00°, γ = 141.78°
Fractional coordinates of all 16 atoms:
Cs  0.0753  0.9247  0.6079
Cs  0.0753  0.9247  0.8921
Cs  0.3880  0.6120  0.7500
Cs  0.6120  0.3880  0.2500
Cs  0.9247  0.0753  0.1079
Cs  0.9247  0.0753  0.3921
Ga  0.2153  0.7847  0.0963
Ga  0.2153  0.7847  0.4037
Ga  0.7847  0.2153  0.5963
Ga  0.7847  0.2153  0.9037
Au  0.2880  0.7120  0.2500
Au  0.3119  0.6881  0.5429
Au  0.3119  0.6881  0.9571
Au  0.6881  0.3119  0.0429
Au  0.6881  0.3119  0.4571
Au  0.7120  0.2880  0.7500

=====

No. 3
DFT (PBE-GGA) results for CsRb2CeCl6 after structural relaxation.

Output
energy	-4.08	eV per atom
E_form (uncorrected)	-2.100	eV per atom

a = 7.9932 Å, b = 8.4776 Å, c = 13.9422 Å
α = 90.00°, β = 124.44°, γ = 90.00°
Fractional coordinates of all 20 atoms:
Cs  0.0000  0.0000  0.0000
Cs  0.0000  0.5000  0.5000
Rb  0.2165  0.0708  0.7451
Rb  0.2165  0.4292  0.2451
Rb  0.7835  0.5708  0.7549
Rb  0.7835  0.9292  0.2549
Ce  0.5000  0.0000  0.5000
Ce  0.5000  0.5000  0.0000
Cl  0.1599  0.1736  0.4362
Cl  0.1599  0.3264  0.9362
Cl  0.2553  0.7320  0.4137
Cl  0.2553  0.7680  0.9137
Cl  0.4233  0.0690  0.2833
Cl  0.4233  0.4310  0.7833
Cl  0.5767  0.5690  0.2167
Cl  0.5767  0.9310  0.7167
Cl  0.7447  0.2320  0.0863
Cl  0.7447  0.2680  0.5863
Cl  0.8401  0.6736  0.0638
Cl  0.8401  0.8264  0.5638

=====

No. 4
DFT (PBE-GGA) results for Nd4AlIr after structural relaxation.

Output
energy above the lowest structure with this stoichiometry	0.077	eV/atom
energy	-5.63	eV per atom
energy of formation	-205	kJ/mol of formula units

a = 8.3206 Å, b = 8.3206 Å, c = 6.1325 Å
α = 103.47°, β = 103.47°, γ = 114.45°
Fractional coordinates of all 12 atoms:
Nd  0.0621  0.7019  0.9210
Nd  0.2180  0.3551  0.6737
Nd  0.2981  0.9379  0.5790
Nd  0.3551  0.2180  0.1737
Nd  0.6449  0.7820  0.8263
Nd  0.7019  0.0621  0.4210
Nd  0.7820  0.6449  0.3263
Nd  0.9379  0.2981  0.0790
Al  0.3742  0.6258  0.2500
Al  0.6258  0.3742  0.7500
Ir  0.0005  0.9995  0.2500
Ir  0.9995  0.0005  0.7500

=====

No. 5
DFT (PBE-GGA) results for AcLa4Pr3 after structural relaxation.

Output
energy above the lowest structure with this stoichiometry	0.000	eV/atom
energy	-4.76	eV per atom
energy of formation	10	kJ/mol of formula units

a = 10.6622 Å, b = 7.5043 Å, c = 7.4931 Å
α = 90.00°, β = 90.00°, γ = 90.00°
Fractional coordinates of all 16 atoms:
Ac  0.0000  0.0004  0.0000
Ac  0.5000  0.9996  0.5000
La  0.0000  0.9999  0.5000
La  0.0000  0.5001  0.9995
La  0.2502  0.2544  0.2498
La  0.2498  0.7456  0.7498
La  0.5000  0.0001  0.0000
La  0.5000  0.4999  0.4995
La  0.7498  0.2544  0.2498
La  0.7502  0.7456  0.7498
Pr  0.0000  0.4995  0.4996
Pr  0.2502  0.2536  0.7497
Pr  0.2498  0.7464  0.2497
Pr  0.5000  0.5005  0.9996
Pr  0.7498  0.2536  0.7497
Pr  0.7502  0.7464  0.2497

=====

No. 6
DFT (PBE-GGA) results for Cu2BiBr6 after structural relaxation.

Output
energy above the lowest structure with this stoichiometry	0.000	eV/atom
energy	-2.93	eV per atom
E_form (uncorrected)	-0.471	eV per atom

a = 8.1929 Å, b = 8.1929 Å, c = 10.5134 Å
α = 102.45°, β = 102.45°, γ = 27.68°
Fractional coordinates of all 9 atoms:
Cu  0.2027  0.2027  0.3419
Cu  0.7973  0.7973  0.6581
Bi  0.0000  0.0000  0.0000
Br  0.0517  0.0517  0.2843
Br  0.2112  0.2112  0.6440
Br  0.3704  0.3704  0.0185
Br  0.6296  0.6296  0.9815
Br  0.7888  0.7888  0.3560
Br  0.9483  0.9483  0.7157

=====

No. 7
DFT (PBE-GGA) results for Sm2MgZn2Ni5 after structural relaxation.

Output
energy	-4.46	eV per atom
energy of formation	-200	kJ/mol of formula units

a = 9.4655 Å, b = 9.4655 Å, c = 3.6437 Å
α = 90.00°, β = 90.00°, γ = 90.00°
Fractional coordinates of all 20 atoms:
Sm  0.1809  0.3191  0.0000
Sm  0.3191  0.8191  0.0000
Sm  0.6809  0.1809  0.0000
Sm  0.8191  0.6809  0.0000
Mg  0.0000  0.0000  0.0000
Mg  0.5000  0.5000  0.0000
Zn  0.1149  0.6149  0.0000
Zn  0.3851  0.1149  0.0000
Zn  0.6149  0.8851  0.0000
Zn  0.8851  0.3851  0.0000
Ni  0.0000  0.5000  0.5000
Ni  0.0624  0.7846  0.5000
Ni  0.2154  0.0624  0.5000
Ni  0.2846  0.5624  0.5000
Ni  0.4376  0.2846  0.5000
Ni  0.5000  0.0000  0.5000
Ni  0.5624  0.7154  0.5000
Ni  0.7154  0.4376  0.5000
Ni  0.7846  0.9376  0.5000
Ni  0.9376  0.2154  0.5000

=====

No. 8
DFT (PBE-GGA) results for Cs2NpPb2O6 after structural relaxation.

Output
energy	-6.60	eV per atom
E_form (uncorrected)	-1.890	eV per atom

a = 6.2754 Å, b = 6.2754 Å, c = 7.3006 Å
α = 98.76°, β = 98.76°, γ = 115.25°
Fractional coordinates of all 11 atoms:
Cs  0.1828  0.8172  0.0000
Cs  0.8172  0.1828  0.0000
Np  0.0000  0.0000  0.5000
Pb  0.3278  0.6722  0.5000
Pb  0.6722  0.3278  0.5000
O  0.0391  0.3429  0.6591
O  0.1697  0.1697  0.3195
O  0.3429  0.0391  0.6591
O  0.6571  0.9609  0.3409
O  0.8303  0.8303  0.6805
O  0.9609  0.6571  0.3409

=====

No. 9
DFT (PBE-GGA) results for Mn4FeNi after structural relaxation.

Output
energy	-8.25	eV per atom
energy of formation	136	kJ/mol of formula units

a = 4.5804 Å, b = 4.5804 Å, c = 4.5804 Å
α = 60.00°, β = 60.00°, γ = 60.00°
Fractional coordinates of all 6 atoms:
Mn  0.3755  0.3755  0.3755
Mn  0.3755  0.3755  0.8734
Mn  0.3755  0.8734  0.3755
Mn  0.8734  0.3755  0.3755
Fe  0.0000  0.0000  0.0000
Ni  0.7500  0.7500  0.7500

=====

No. 10
DFT (PBE-GGA) results for Y2CdAg after structural relaxation.

Output
energy	-4.10	eV per atom
energy of formation	26	kJ/mol of formula units

a = 6.6688 Å, b = 6.6688 Å, c = 6.6688 Å
α = 103.92°, β = 103.92°, γ = 121.26°
Fractional coordinates of all 8 atoms:
Y  0.1016  0.1250  0.4766
Y  0.3750  0.8984  0.0234
Y  0.6484  0.6250  0.5234
Y  0.8750  0.3516  0.9766
Cd  0.2500  0.7500  0.5000
Cd  0.5000  0.5000  0.0000
Ag  0.0000  0.0000  0.0000
Ag  0.7500  0.2500  0.5000

=====

No. 11
DFT (PBE-GGA) results for NaCa2TlHg4 after structural relaxation.

Output
energy	-1.48	eV per atom
energy of formation	-282	kJ/mol of formula units

a = 9.2806 Å, b = 9.2806 Å, c = 9.2806 Å
α = 33.00°, β = 33.00°, γ = 33.00°
Fractional coordinates of all 8 atoms:
Na  0.0000  0.0000  0.0000
Ca  0.2446  0.2446  0.2446
Ca  0.7554  0.7554  0.7554
Tl  0.5000  0.5000  0.5000
Hg  0.1190  0.1190  0.1190
Hg  0.3701  0.3701  0.3701
Hg  0.6299  0.6299  0.6299
Hg  0.8810  0.8810  0.8810

=====

No. 12
DFT (PBE-GGA) results for Ca2MgTcN4 after structural relaxation.

Output
energy	-6.82	eV per atom
E_form (uncorrected)	-0.661	eV per atom

a = 7.0956 Å, b = 6.4056 Å, c = 5.5107 Å
α = 90.00°, β = 90.00°, γ = 90.00°
Fractional coordinates of all 16 atoms:
Ca  0.2471  0.1795  0.0000
Ca  0.2529  0.8205  0.5000
Ca  0.7471  0.8205  0.5000
Ca  0.7529  0.1795  0.0000
Mg  0.0000  0.3471  0.5135
Mg  0.5000  0.6529  0.0135
Tc  0.0000  0.6667  0.0214
Tc  0.5000  0.3333  0.5214
N  0.0000  0.4007  0.8889
N  0.0000  0.6393  0.3550
N  0.2268  0.8094  0.9441
N  0.2732  0.1906  0.4441
N  0.5000  0.3607  0.8550
N  0.5000  0.5993  0.3889
N  0.7268  0.1906  0.4441
N  0.7732  0.8094  0.9441

=====

Q: Which formula does entry 11 have?
A: NaCa2TlHg4

=====

Q: Which value of energy does entry 9 give?
A: -8.25 eV per atom

=====

Q: Among the records above, which one has the highest energy?
A: NaCa2TlHg4

=====

Q: What is the energy in the ninth record?
A: -8.25 eV per atom